No. 1
First-principles (PBE) data for a relaxed structure of SrInRh2, as listed in Alexandria via LeMat-Bulk.

Calculated values
SG: I-42d (122)

Cell lengths 4.8257, 4.8257, 9.7422 Å; angles 75.66, 75.66, 90.00 degrees
Element x y z (fractional)
Sr (0.5000, 0.5000, 0.0000)
Sr (0.2500, 0.7500, 0.5000)
Rh (0.7886, 0.1250, 0.2500)
Rh (0.9614, 0.6250, 0.2500)
Rh (0.3750, 0.2114, 0.7500)
Rh (0.8750, 0.0386, 0.7500)
In (0.0000, 0.0000, 0.0000)
In (0.7500, 0.2500, 0.5000)



No. 2
First-principles (PBE) data for a relaxed structure of SrIn3Rh, as listed in Alexandria via LeMat-Bulk.

Calculated values
SG: Pnma (62)

Cell lengths 4.5519, 9.2699, 11.9091 Å; angles 90.00, 90.00, 90.00 degrees
Element x y z (fractional)
Sr (0.7500, 0.8066, 0.0022)
Sr (0.2500, 0.6934, 0.5022)
Sr (0.7500, 0.3066, 0.4978)
Sr (0.2500, 0.1934, 0.9978)
In (0.2500, 0.5555, 0.0834)
In (0.7500, 0.4445, 0.9166)
In (0.2500, 0.0555, 0.4166)
In (0.7500, 0.9445, 0.5834)
In (0.2500, 0.3899, 0.7124)
In (0.7500, 0.1101, 0.2124)
In (0.2500, 0.8899, 0.7876)
In (0.7500, 0.6459, 0.7155)
In (0.2500, 0.3541, 0.2845)
In (0.7500, 0.1459, 0.7845)
In (0.7500, 0.6101, 0.2876)
In (0.2500, 0.8541, 0.2155)
Rh (0.2500, 0.1129, 0.6442)
Rh (0.2500, 0.6129, 0.8558)
Rh (0.7500, 0.3871, 0.1442)
Rh (0.7500, 0.8871, 0.3558)



No. 3
First-principles (PBE) data for a relaxed structure of Sr6In2Rh, as listed in Alexandria via LeMat-Bulk.

Calculated values
SG: P2_1/c (14)

Cell lengths 7.2041, 9.3230, 10.8864 Å; angles 90.00, 90.25, 90.00 degrees
Element x y z (fractional)
Sr (0.8912, 0.0330, 0.2451)
Sr (0.6565, 0.8439, 0.5550)
Sr (0.6340, 0.7992, 0.9408)
Sr (0.8660, 0.2992, 0.5592)
Sr (0.8435, 0.3439, 0.9450)
Sr (0.6088, 0.5330, 0.2549)
Sr (0.1088, 0.9670, 0.7549)
Sr (0.3435, 0.1561, 0.4450)
Sr (0.3660, 0.2008, 0.0592)
Sr (0.1340, 0.7008, 0.4408)
Sr (0.1565, 0.6561, 0.0550)
Sr (0.3912, 0.4670, 0.7451)
In (0.9343, 0.6147, 0.7390)
In (0.5657, 0.1147, 0.7610)
In (0.4343, 0.8853, 0.2390)
In (0.0657, 0.3853, 0.2610)
Rh (0.5000, 0.5000, 0.0000)
Rh (0.0000, 0.0000, 0.5000)



no.,density (Mg/m³),E_form (meV per atom),electronic total energy (eV per atom)
1,6.4,24,-4.76
2,7.1,-442,-3.89
3,3.9,-261,-2.81